DFT (PBE-GGA) results for a relaxed La12Nd6Y crystal.

Results
* energy relative to the lowest polymorph listed for this composition: 0.0000 eV/atom
* energy relative to the elements: 106 meV/atom
* density of states at the Fermi level: 30.7 states/eV/f.u.

Cell: 8.865 8.865 8.865 Å, 89.21 89.21 89.21°
Fractional coordinates of all 19 atoms:
La: 0.019 0.362 0.191
La: 0.191 0.019 0.362
La: 0.218 0.568 0.465
La: 0.362 0.191 0.019
La: 0.432 0.535 0.782
La: 0.465 0.218 0.568
La: 0.535 0.782 0.432
La: 0.568 0.465 0.218
La: 0.638 0.809 0.981
La: 0.782 0.432 0.535
La: 0.809 0.981 0.638
La: 0.981 0.638 0.809
Nd: 0.098 0.262 0.703
Nd: 0.262 0.703 0.098
Nd: 0.297 0.902 0.738
Nd: 0.703 0.098 0.262
Nd: 0.738 0.297 0.902
Nd: 0.902 0.738 0.297
Y: 0.000 0.000 0.000

=====

DFT (PBE-GGA) results for a relaxed TlFe2Tc crystal.

Results
* energy relative to the lowest polymorph listed for this composition: 0.1678 eV/atom
* energy relative to the elements: 584 meV/atom
* density of states at the Fermi level: 5.2 states/eV/f.u.

Cell: 8.763 8.763 8.763 Å, 19.16 19.16 19.16°
Fractional coordinates of all 4 atoms:
Tl: 0.000 0.000 0.000
Fe: 0.497 0.497 0.497
Fe: 0.759 0.759 0.759
Tc: 0.238 0.238 0.238